Record 1
Crystalline K2Pd2RhO6 at its relaxed geometry, computed with PBE.

a b c (Å): 5.6657 9.3927 6.3190
angles (deg): 90.00 107.42 90.00
Space group C2/m (No. 12)
Inequivalent atoms, fractional coordinates:
1 K 0.0000 0.1707 0.0000 x4
2 Pd 0.0000 0.3349 0.5000 x4
3 Rh 0.0000 0.0000 0.5000 x2
4 O 0.2132 0.1674 0.6661 x8
5 O 0.2317 0.5000 0.6651 x4

Properties
ρ: 5.1 g/cm³
electronic total energy: -5.352 eV/atom
formation energy without anion corrections: -0.836 eV per atom


Record 2
Crystalline YBSCl2 at its relaxed geometry, computed with PBE.

a b c (Å): 4.4595 4.4595 4.4172
angles (deg): 90.00 90.00 90.00
Space group P4/mmm (No. 123)
Inequivalent atoms, fractional coordinates:
1 Y 0.0000 0.0000 0.0000 x1
2 B 0.5000 0.5000 0.5000 x1
3 S 0.5000 0.5000 0.0000 x1
4 Cl 0.0000 0.5000 0.5000 x2

Properties
ρ: 3.8 g/cm³
electronic total energy: -4.551 eV/atom
formation energy without anion corrections: -0.358 eV per atom
offset from the most stable computed form: 0.0 meV per atom


Record 3
Crystalline K3HfPb at its relaxed geometry, computed with PBE.

a b c (Å): 6.5672 6.5672 6.5672
angles (deg): 90.00 90.00 90.00
Space group Pm-3m (No. 221)
Inequivalent atoms, fractional coordinates:
1 K 0.0000 0.0000 0.5000 x3
2 Hf 0.0000 0.0000 0.0000 x1
3 Pb 0.5000 0.5000 0.5000 x1

Properties
ρ: 2.9 g/cm³
electronic total energy: -2.079 eV/atom
formation enthalpy at 0 K: 1312.1 meV/atom
offset from the most stable computed form: 167.4 meV per atom


Record 4
Crystalline V2Rh2Au at its relaxed geometry, computed with PBE.

a b c (Å): 7.4309 7.4309 2.7352
angles (deg): 90.00 90.00 90.00
Space group P4/mbm (No. 127)
Inequivalent atoms, fractional coordinates:
1 V 0.1462 0.3538 0.0000 x4
2 Rh 0.1448 0.6448 0.5000 x4
3 Au 0.0000 0.0000 0.0000 x2

Properties
ρ: 11.1 g/cm³
electronic total energy: -7.387 eV/atom
formation enthalpy at 0 K: -143.1 meV/atom
offset from the most stable computed form: 87.8 meV per atom